Density functional theory data (GGA-PBE) for crystalline NaPu at its relaxed geometry.

Values from the calculation:
VASP energy: -6.160 eV/atom
crystal system: cubic
size of the total moment: 3.51 μB per atom
SG: F-43m, No. 216
excess energy over the best structure of this formula in the dataset: 1.193 eV/atom

abc: 5.115 5.115 5.115
angles: 60.00 60.00 60.00
Each line ends with the local moment (μB).
Sites, in units of the cell vectors:
Na (0.000, 0.000, 0.000)  0.06
Pu (0.250, 0.250, 0.250)  6.03

---

Density functional theory data (GGA-PBE) for crystalline Er3Mg3ZnIn2 at its relaxed geometry.

Values from the calculation:
VASP energy: -3.130 eV/atom
crystal system: hexagonal
size of the total moment: 0.00 μB per atom
SG: P-62m, No. 189

abc: 7.444 7.444 4.522
angles: 90.00 90.00 120.00
Sites, in units of the cell vectors:
Zn (0.000, 0.000, 0.000)
Er (0.000, 0.416, 0.000)
Er (0.584, 0.584, 0.000)
Er (0.416, 0.000, 0.000)
Mg (0.763, 0.000, 0.500)
Mg (0.237, 0.237, 0.500)
Mg (0.000, 0.763, 0.500)
In (0.667, 0.333, 0.500)
In (0.333, 0.667, 0.500)

---

Density functional theory data (GGA-PBE) for crystalline HoScAg6 at its relaxed geometry.

Values from the calculation:
VASP energy: -3.728 eV/atom
crystal system: orthorhombic
size of the total moment: 0.00 μB per atom
SG: Pmm2, No. 25
energy of formation from the pure elements: -246 meV per atom

abc: 4.942 6.049 5.116
angles: 90.00 90.00 90.00
Sites, in units of the cell vectors:
Ag (0.500, 0.755, 0.660)
Ag (0.500, 0.500, 0.180)
Ag (0.000, 0.761, 0.336)
Ag (0.000, 0.000, 0.833)
Ag (0.500, 0.245, 0.660)
Ag (0.000, 0.239, 0.336)
Ho (0.000, 0.500, 0.842)
Sc (0.500, 0.000, 0.153)

---

Density functional theory data (GGA-PBE) for crystalline CuGeIrAu at its relaxed geometry.

Values from the calculation:
VASP energy: -4.960 eV/atom
crystal system: cubic
size of the total moment: 0.00 μB per atom
SG: F-43m, No. 216
excess energy over the best structure of this formula in the dataset: 0.000 eV/atom

abc: 4.422 4.422 4.422
angles: 60.00 60.00 60.00
Sites, in units of the cell vectors:
Ir (0.250, 0.250, 0.250)
Cu (0.750, 0.750, 0.750)
Ge (0.000, 0.000, 0.000)
Au (0.500, 0.500, 0.500)

---

Density functional theory data (GGA-PBE) for crystalline Cs2LiNbCl6 at its relaxed geometry.

Values from the calculation:
VASP energy: -4.125 eV/atom
crystal system: trigonal
size of the total moment: 0.20 μB per atom
SG: R-3m, No. 166

abc: 12.732 12.732 12.732
angles: 33.37 33.37 33.37
Each line ends with the local moment (μB).
Sites, in units of the cell vectors:
Cs (0.710, 0.710, 0.710)  0.00
Cs (0.126, 0.126, 0.126)  0.00
Cs (0.290, 0.290, 0.290)  0.00
Cs (0.874, 0.874, 0.874)  0.00
Cl (0.202, 0.202, 0.715)  0.00
Cl (0.715, 0.202, 0.202)  0.00
Cl (0.798, 0.798, 0.285)  0.00
Cl (0.202, 0.715, 0.202)  0.01
Cl (0.383, 0.858, 0.383)  0.01
Cl (0.617, 0.142, 0.617)  0.01
Cl (0.285, 0.798, 0.798)  0.00
Cl (0.798, 0.285, 0.798)  0.01
Cl (0.383, 0.383, 0.858)  0.00
Cl (0.142, 0.617, 0.617)  0.00
Cl (0.617, 0.617, 0.142)  0.00
Cl (0.858, 0.383, 0.383)  0.00
Li (0.588, 0.588, 0.588)  0.00
Li (0.412, 0.412, 0.412)  0.00
Nb (0.500, 0.500, 0.500)  1.59
Nb (0.000, 0.000, 0.000)  1.66

---

Density functional theory data (GGA-PBE) for crystalline NbCuNiAs at its relaxed geometry.

Values from the calculation:
VASP energy: -5.821 eV/atom
crystal system: cubic
size of the total moment: 0.12 μB per atom
SG: F-43m, No. 216
excess energy over the best structure of this formula in the dataset: 0.215 eV/atom

abc: 4.340 4.340 4.340
angles: 60.00 60.00 60.00
Sites, in units of the cell vectors:
Nb (0.500, 0.500, 0.500)
Cu (0.750, 0.750, 0.750)
As (0.000, 0.000, 0.000)
Ni (0.250, 0.250, 0.250)